The following is a DFT calculation (GGA+U) of GdCoO3 after structural relaxation.

Geometry as POSCAR:
```
GdCoO3
1.0
3.7018 0.0000 0.0000
0.0000 3.7018 0.0000
0.0000 0.0000 3.7018
Gd Co O
1 1 3
Cartesian
0.0000 0.0000 0.0000 Gd
1.8509 1.8509 1.8509 Co
0.0000 1.8509 1.8509 O
1.8509 0.0000 1.8509 O
1.8509 1.8509 0.0000 O
```

- raw total energy (eV/atom) = -6.91
- symmetry = Pm-3m, No. 221